Record 1
This record from Alexandria via LeMat-Bulk describes a relaxed NaTlSn crystal. The functional is PBE.

a b c (Å): 4.6053 5.0650 7.5751
angles (deg): 90.00 107.79 90.00
With the nearest neighbours (Å) after each atom.
Sites, in units of the cell vectors:
Na: 0.4879 0.5000 0.0334  6 Tl 3.27-3.43, 2 Na 3.41-3.42, 4 Sn 3.56-3.62
Na: 0.8143 0.5000 0.6845  4 Tl 3.31-3.47, 6 Sn 3.35-3.42, 2 Na 3.41-3.42
Tl: 0.9776 0.0000 0.0133  4 Sn 3.35-3.51, 6 Na 3.42-3.47, 2 Tl 3.54
Tl: 0.1493 0.5000 0.3553  4 Na 3.27-3.31, 6 Sn 3.42-3.43, 2 Tl 3.54
Sn: 0.6628 0.0000 0.3798  2 Sn 3.13-3.14, 2 Na 3.35, 5 Tl 3.42-3.50
Sn: 0.3100 0.0000 0.6752  2 Sn 3.13-3.14, 4 Tl 3.35-3.43, 4 Na 3.42

Computed properties:
SG: No. 6
Calculated formation energy in eV/atom: -0.110

Record 2
This record from Alexandria via LeMat-Bulk describes a relaxed LiNpGeO5 crystal. The functional is PBE.

a b c (Å): 5.8628 5.8628 7.8730
angles (deg): 102.48 102.48 114.52
With the nearest neighbours (Å) after each atom.
Sites, in units of the cell vectors:
Li: 0.2834 0.7166 0.2500  3 O 2.00-2.01
Li: 0.7166 0.2834 0.7500  3 O 2.00-2.01
Np: 0.0000 0.0000 0.5000  6 O 2.10-2.23
Np: 0.0000 0.0000 0.0000  6 O 2.10-2.23
Ge: 0.7075 0.2925 0.2500  4 O 1.78-1.79
Ge: 0.2925 0.7075 0.7500  4 O 1.78-1.79
O: 0.0802 0.9198 0.2500  1 Li 2.00, 2 Np 2.12
O: 0.9198 0.0802 0.7500  1 Li 2.00, 2 Np 2.12
O: 0.9689 0.3462 0.1555  1 Ge 1.79
O: 0.0311 0.6538 0.8445  1 Ge 1.79
O: 0.6538 0.0311 0.3445  1 Ge 1.79
O: 0.3462 0.9689 0.6555  1 Ge 1.79
O: 0.7789 0.5837 0.4275  1 Ge 1.78
O: 0.2211 0.4163 0.5725  1 Ge 1.78
O: 0.4163 0.2211 0.0725  1 Ge 1.78
O: 0.5837 0.7789 0.9275  1 Ge 1.78

Computed properties:
SG: No. 15
Uncorrected formation energy in eV/atom: -2.271

Record 3
This record from Alexandria via LeMat-Bulk describes a relaxed Rb3TbU2Te6 crystal. The functional is PBE.

a b c (Å): 7.8643 7.8643 8.9899
angles (deg): 98.38 98.38 120.00
With the nearest neighbours (Å) after each atom.
Sites, in units of the cell vectors:
Rb: 0.1669 0.8331 0.5000  6 Te 3.66-3.67
Rb: 0.8331 0.1669 0.5000  6 Te 3.66-3.67
Rb: 0.5000 0.5000 0.5000  6 Te 3.66-3.68
Tb: 0.0000 0.0000 0.0000  6 Te 3.13
U: 0.3333 0.6667 0.0000  6 Te 3.15
U: 0.6667 0.3333 0.0000  6 Te 3.15
Te: 0.9327 0.6010 0.7982  1 Tb 3.13, 2 U 3.15
Te: 0.7355 0.7355 0.2018  1 Tb 3.13, 2 U 3.15
Te: 0.0673 0.3990 0.2018  1 Tb 3.13, 2 U 3.15
Te: 0.6010 0.9327 0.7982  1 Tb 3.13, 2 U 3.15
Te: 0.2646 0.2646 0.7982  1 Tb 3.13, 2 U 3.15
Te: 0.3990 0.0673 0.2018  1 Tb 3.13, 2 U 3.15

Computed properties:
SG: No. 12
Uncorrected formation energy in eV/atom: -1.011

Record 4
This record from Alexandria via LeMat-Bulk describes a relaxed CaLaEr2Te4 crystal. The functional is PBE.

a b c (Å): 4.3982 7.6993 7.6795
angles (deg): 109.05 90.00 90.00
With the nearest neighbours (Å) after each atom.
Sites, in units of the cell vectors:
Ca: 0.5000 0.5000 0.0000  6 Te 3.16-3.17
La: 0.0000 0.0000 0.0000  6 Te 3.21-3.22
Er: 0.5000 0.0000 0.5000  6 Te 3.10
Er: 0.0000 0.5000 0.5000  6 Te 3.05
Te: 0.5000 0.2606 0.2653  3 Er 3.05-3.10, 1 Ca 3.16, 2 La 3.22
Te: 0.5000 0.7394 0.7347  3 Er 3.05-3.10, 1 Ca 3.16, 2 La 3.22
Te: 0.0000 0.2509 0.7379  3 Er 3.05-3.10, 2 Ca 3.17, 1 La 3.21
Te: 0.0000 0.7491 0.2621  3 Er 3.05-3.10, 2 Ca 3.17, 1 La 3.21

Computed properties:
SG: No. 10
Uncorrected formation energy in eV/atom: -1.409

Record 5
This record from Alexandria via LeMat-Bulk describes a relaxed Tl3CF crystal. The functional is PBE.

a b c (Å): 5.0730 5.0730 5.0730
angles (deg): 90.00 90.00 90.00
With the nearest neighbours (Å) after each atom.
Sites, in units of the cell vectors:
Tl: 0.0000 0.5000 0.0000  2 C 2.54
Tl: 0.0000 0.0000 0.5000  2 C 2.54
Tl: 0.5000 0.0000 0.0000  2 C 2.54
C: 0.0000 0.0000 0.0000  6 Tl 2.54
F: 0.5000 0.5000 0.5000  12 Tl 3.59

Computed properties:
SG: No. 221
Energy above the most stable polymorph in this dataset in eV/atom: 0.000
Uncorrected formation energy in eV/atom: 0.417

Record 6
This record from Alexandria via LeMat-Bulk describes a relaxed Hf2TiHgO crystal. The functional is PBE.

a b c (Å): 4.5129 4.5129 4.0703
angles (deg): 90.00 90.00 90.00
With the nearest neighbours (Å) after each atom.
Sites, in units of the cell vectors:
Hf: 0.0000 0.5000 0.0000  2 O 2.26
Hf: 0.5000 0.0000 0.0000  2 O 2.26
Hg: 0.5000 0.5000 0.5000  8 Hf 3.04, 4 Ti 3.19
O: 0.0000 0.0000 0.0000  2 Ti 2.04, 4 Hf 2.26
Ti: 0.0000 0.0000 0.5000  2 O 2.04

Computed properties:
SG: No. 123
Uncorrected formation energy in eV/atom: -1.003

Record 7
This record from Alexandria via LeMat-Bulk describes a relaxed LiTa2Se crystal. The functional is PBE.

a b c (Å): 3.4776 3.4776 5.6941
angles (deg): 90.00 90.00 90.00
With the nearest neighbours (Å) after each atom.
Sites, in units of the cell vectors:
Li: 0.0000 0.0000 0.5167  4 Se 2.73, 6 Ta 2.83-2.92
Se: 0.5000 0.5000 0.7247  4 Li 2.73, 6 Ta 2.77-2.98
Ta: 0.0000 0.0000 0.0197  4 Ta 2.76, 2 Li 2.83-2.86, 4 Se 2.98
Ta: 0.5000 0.5000 0.2389  4 Ta 2.76, 2 Se 2.77-2.93, 4 Li 2.92

Computed properties:
SG: No. 99
Uncorrected formation energy in eV/atom: -0.049

Record 8
This record from Alexandria via LeMat-Bulk describes a relaxed Dy3NbPt12 crystal. The functional is PBE.

a b c (Å): 4.0862 4.0862 16.3953
angles (deg): 90.00 90.00 90.00
With the nearest neighbours (Å) after each atom.
Sites, in units of the cell vectors:
Dy: 0.0000 0.0000 0.2492  12 Pt 2.88-2.99
Dy: 0.0000 0.0000 0.5000  12 Pt 2.89-2.92
Dy: 0.0000 0.0000 0.7508  12 Pt 2.88-2.99
Nb: 0.0000 0.0000 0.0000  12 Pt 2.79-2.89
Pt: 0.5000 0.5000 0.0000  8 Pt 2.79, 4 Nb 2.89
Pt: 0.5000 0.5000 0.2442  4 Dy 2.89, 8 Pt 2.93-2.94
Pt: 0.5000 0.5000 0.5000  4 Dy 2.89, 8 Pt 2.92
Pt: 0.5000 0.5000 0.7558  4 Dy 2.89, 8 Pt 2.93-2.94
Pt: 0.5000 0.0000 0.1158  2 Nb 2.79, 8 Pt 2.79-2.93, 2 Dy 2.99
Pt: 0.5000 0.0000 0.3730  4 Dy 2.88-2.92, 8 Pt 2.89-2.94
Pt: 0.5000 0.0000 0.6270  4 Dy 2.88-2.92, 8 Pt 2.89-2.94
Pt: 0.5000 0.0000 0.8842  2 Nb 2.79, 8 Pt 2.79-2.93, 2 Dy 2.99
Pt: 0.0000 0.5000 0.1158  2 Nb 2.79, 8 Pt 2.79-2.93, 2 Dy 2.99
Pt: 0.0000 0.5000 0.3730  4 Dy 2.88-2.92, 8 Pt 2.89-2.94
Pt: 0.0000 0.5000 0.6270  4 Dy 2.88-2.92, 8 Pt 2.89-2.94
Pt: 0.0000 0.5000 0.8842  2 Nb 2.79, 8 Pt 2.79-2.93, 2 Dy 2.99

Computed properties:
SG: No. 123
Calculated formation energy in eV/atom: -0.955

Record 9
This record from Alexandria via LeMat-Bulk describes a relaxed Nd5PtS4 crystal. The functional is PBE.

a b c (Å): 4.0456 7.1907 9.2201
angles (deg): 75.25 77.33 73.66
With the nearest neighbours (Å) after each atom.
Sites, in units of the cell vectors:
Nd: 0.2018 0.9022 0.6943  5 S 2.87-2.90, 1 Pt 2.96
Nd: 0.7982 0.0978 0.3057  5 S 2.87-2.90, 1 Pt 2.96
Nd: 0.3998 0.2997 0.9006  2 Pt 2.90, 4 S 2.93
Nd: 0.0000 0.5000 0.5000  6 S 2.89-2.91
Nd: 0.6002 0.7003 0.0994  2 Pt 2.90, 4 S 2.93
Pt: 0.0000 0.0000 0.0000  6 Nd 2.90-2.96
S: 0.5992 0.2031 0.5985  6 Nd 2.87-2.93
S: 0.2005 0.3962 0.2028  6 Nd 2.90-2.93
S: 0.7995 0.6038 0.7972  6 Nd 2.90-2.93
S: 0.4008 0.7969 0.4015  6 Nd 2.87-2.93

Computed properties:
SG: No. 12
Uncorrected formation energy in eV/atom: -1.828

Record 10
This record from Alexandria via LeMat-Bulk describes a relaxed TbScPd2 crystal. The functional is PBE.

a b c (Å): 3.5492 4.6025 10.1183
angles (deg): 90.00 100.07 90.00
With the nearest neighbours (Å) after each atom.
Sites, in units of the cell vectors:
Tb: 0.3123 0.2499 0.6240  7 Pd 2.95-3.18
Tb: 0.6877 0.7501 0.3760  7 Pd 2.95-3.18
Sc: 0.5555 0.2500 0.1113  8 Pd 2.76-2.91
Sc: 0.4445 0.7500 0.8887  8 Pd 2.76-2.91
Pd: 0.8386 0.7499 0.6763  2 Sc 2.76, 5 Tb 2.95-2.99
Pd: 0.1614 0.2501 0.3237  2 Sc 2.76, 5 Tb 2.95-2.99
Pd: 0.0558 0.7501 0.1117  6 Sc 2.84-2.91, 2 Pd 3.12, 2 Tb 3.17-3.18
Pd: 0.9442 0.2499 0.8883  6 Sc 2.84-2.91, 2 Pd 3.12, 2 Tb 3.17-3.18

Computed properties:
SG: No. 11
Energy above the most stable polymorph in this dataset in eV/atom: 0.000
Calculated formation energy in eV/atom: -0.895

Record 11
This record from Alexandria via LeMat-Bulk describes a relaxed Ba2ZnPd2 crystal. The functional is PBE.

a b c (Å): 4.0121 4.0121 9.6722
angles (deg): 78.03 78.03 90.00
With the nearest neighbours (Å) after each atom.
Sites, in units of the cell vectors:
Zn: 0.0000 0.0000 0.0000  8 Ba 3.57
Ba: 0.3832 0.3832 0.2337  4 Pd 3.18
Ba: 0.6168 0.6168 0.7663  4 Pd 3.18
Pd: 0.7500 0.2500 0.5000  4 Pd 2.84, 4 Ba 3.18
Pd: 0.2500 0.7500 0.5000  4 Pd 2.84, 4 Ba 3.18

Computed properties:
SG: No. 139
Calculated formation energy in eV/atom: -0.197

Record 12
This record from Alexandria via LeMat-Bulk describes a relaxed Ba2CaZr crystal. The functional is PBE.

a b c (Å): 8.6547 6.8083 3.7902
angles (deg): 89.97 64.08 120.93
With the nearest neighbours (Å) after each atom.
Sites, in units of the cell vectors:
Ca: 0.0000 0.5000 0.5000  2 Ca 3.79, 2 Zr 3.89, 8 Ba 3.90
Ba: 0.0000 0.0000 0.0000  4 Ba 3.79-3.89, 4 Ca 3.90, 4 Zr 3.90
Ba: 0.5000 0.0000 0.5000  4 Ba 3.79-3.89, 4 Zr 3.90, 4 Ca 3.90
Zr: 0.5000 0.5000 0.0000  2 Zr 3.79, 2 Ca 3.89, 8 Ba 3.90

Computed properties:
SG: No. 65
Energy above the most stable polymorph in this dataset in eV/atom: 0.131
Calculated formation energy in eV/atom: 0.535

Number 1: Fermi-level density of states 1.299 states/eV/f.u., density 6.831 g cm⁻³. Number 2: Fermi-level density of states 5.016 states/eV/f.u., density 5.836 g cm⁻³. Number 3: Fermi-level density of states 14.136 states/eV/f.u., density 5.974 g cm⁻³. Number 4: Fermi-level density of states 3.917 states/eV/f.u., density 6.917 g cm⁻³. Number 5: Fermi-level density of states 2.657 states/eV/f.u., density 8.193 g cm⁻³. Number 6: Fermi-level density of states 3.957 states/eV/f.u., density 12.449 g cm⁻³. Number 7: Fermi-level density of states 2.820 states/eV/f.u., density 10.798 g cm⁻³. Number 8: Fermi-level density of states 9.543 states/eV/f.u., density 17.721 g cm⁻³. Number 9: Fermi-level density of states 4.142 states/eV/f.u., density 7.059 g cm⁻³. Number 10: Fermi-level density of states 2.626 states/eV/f.u., density 8.504 g cm⁻³. Number 11: Fermi-level density of states 5.244 states/eV/f.u., density 6.168 g cm⁻³. Number 12: Fermi-level density of states 7.364 states/eV/f.u., density 4.090 g cm⁻³.